This record from Alexandria via LeMat-Bulk describes a crystal of B3H5 relaxed with PBEsol. The functional is SCAN.

Results
SG = P2_1/c (14)
D(E_F) = 0.000 states/eV per atom
energy above the lowest structure with this stoichiometry = 0.00 eV/f.u.
spin magnetization = 0.0 μB/f.u.
total DFT energy (no corrections) = -5.0323 eV/atom
volume = 768.9 Å³ per cell

Cell: 6.7592 10.7256 11.2212 Å, 109.07 90.00 90.00°
Closest atoms and distances in Å follow each position.
Positions (direct):
1 B 0.2011 0.2109 0.3330  2 H 1.20-1.29
2 B 0.8803 0.8237 0.5343  1 H 1.20
3 B 0.7586 0.6133 0.6333  2 H 1.20-1.22
4 B 0.2414 0.3867 0.3667  2 H 1.20-1.22
5 B 0.5165 0.2232 0.5493  2 H 1.20-1.34
6 B 0.1340 0.8347 0.1606  2 H 1.20-1.34
7 B 0.0165 0.2768 0.9507  2 H 1.20-1.34
8 B 0.7861 0.3252 0.9141  1 H 1.20
9 B 0.2586 0.8867 0.8667  2 H 1.20-1.22
10 B 0.3660 0.3347 0.6606  2 H 1.20-1.34
11 B 0.8825 0.6901 0.3952  2 H 1.20-1.33
12 B 0.6175 0.1901 0.8952  2 H 1.20-1.33
13 B 0.7011 0.2891 0.1670  2 H 1.20-1.29
14 B 0.2989 0.7109 0.8330  2 H 1.20-1.29
15 B 0.6197 0.3237 0.0343  1 H 1.20
16 B 0.8625 0.3724 0.0764  2 H 1.20-1.33
17 B 0.3825 0.8099 0.1048  2 H 1.20-1.33
18 B 0.9835 0.7232 0.0493  2 H 1.20-1.34
19 B 0.0492 0.3236 0.4455  2 H 1.20-1.28
20 B 0.6375 0.8724 0.5764  2 H 1.20-1.33
21 B 0.4508 0.8236 0.9455  2 H 1.20-1.28
22 B 0.7414 0.1133 0.1333  2 H 1.20-1.22
23 B 0.8660 0.1653 0.8394  2 H 1.20-1.34
24 B 0.7139 0.8252 0.4141  1 H 1.20
25 B 0.1175 0.3099 0.6048  2 H 1.20-1.33
26 B 0.6340 0.6653 0.3394  2 H 1.20-1.34
27 B 0.2139 0.6748 0.0859  1 H 1.20
28 B 0.5492 0.1764 0.0545  2 H 1.20-1.28
29 B 0.3625 0.1277 0.4236  2 H 1.20-1.33
30 B 0.2861 0.1748 0.5859  1 H 1.20
31 B 0.1197 0.1763 0.4657  1 H 1.20
32 B 0.9508 0.6764 0.5545  2 H 1.20-1.28
33 B 0.4835 0.7768 0.4507  2 H 1.20-1.34
34 B 0.7989 0.7891 0.6670  2 H 1.20-1.29
35 B 0.3803 0.6763 0.9657  1 H 1.20
36 B 0.1375 0.6276 0.9236  2 H 1.20-1.33
37 H 0.1825 0.4307 0.2874  1 B 1.20
38 H 0.3635 0.6452 0.7324  1 B 1.20
39 H 0.5112 0.5962 0.9428  1 B 1.20
40 H 0.3782 0.1619 0.0759  1 B 1.20
41 H 0.7334 0.9032 0.3593  1 B 1.20
42 H 0.9888 0.0962 0.4428  1 B 1.20
43 H 0.4900 0.1629 0.8169  1 B 1.20
44 H 0.7639 0.5853 0.3676  2 B 1.33-1.34
45 H 0.1218 0.6619 0.5759  1 B 1.20
46 H 0.0085 0.1439 0.9150  2 B 1.35
47 H 0.4888 0.4038 0.0572  1 B 1.20
48 H 0.8217 0.6943 0.0744  1 B 1.20
49 H 0.6368 0.0643 0.0206  2 B 1.28-1.39
50 H 0.3632 0.9357 0.9794  2 B 1.28-1.39
51 H 0.2334 0.5968 0.1407  1 B 1.20
52 H 0.7666 0.4032 0.8593  1 B 1.20
53 H 0.2666 0.0968 0.6407  1 B 1.20
54 H 0.1365 0.1452 0.2324  1 B 1.20
55 H 0.0806 0.5187 0.8670  1 B 1.20
56 H 0.8632 0.5643 0.5206  2 B 1.28-1.39
57 H 0.0816 0.8881 0.2669  1 B 1.20
58 H 0.2361 0.4147 0.6324  2 B 1.33-1.34
59 H 0.8635 0.8548 0.7676  1 B 1.20
60 H 0.8782 0.3381 0.4241  1 B 1.20
61 H 0.3175 0.9307 0.7874  1 B 1.20
62 H 0.3545 0.2731 0.3149  2 B 1.29-1.39
63 H 0.4194 0.0187 0.3670  1 B 1.20
64 H 0.9184 0.1119 0.7331  1 B 1.20
65 H 0.5100 0.8371 0.1831  1 B 1.20
66 H 0.8879 0.0588 0.0756  1 B 1.22
67 H 0.9915 0.8561 0.0850  2 B 1.35
68 H 0.1783 0.3057 0.9256  1 B 1.20
69 H 0.8175 0.5693 0.7126  1 B 1.20
70 H 0.6825 0.0693 0.2126  1 B 1.20
71 H 0.4915 0.6439 0.4150  2 B 1.35
72 H 0.6121 0.5588 0.5756  1 B 1.22
73 H 0.5816 0.6119 0.2331  1 B 1.20
74 H 0.1455 0.7731 0.8149  2 B 1.29-1.39
75 H 0.9864 0.7085 0.9264  2 B 1.33-1.34
76 H 0.2639 0.9147 0.1324  2 B 1.33-1.34
77 H 0.0100 0.6629 0.3169  1 B 1.20
78 H 0.6365 0.3548 0.2676  1 B 1.20
79 H 0.3217 0.8057 0.4256  1 B 1.20
80 H 0.3879 0.4412 0.4244  1 B 1.22
81 H 0.4864 0.7915 0.5736  2 B 1.33-1.34
82 H 0.1121 0.9412 0.9244  1 B 1.22
83 H 0.0112 0.9038 0.5572  1 B 1.20
84 H 0.6218 0.8381 0.9241  1 B 1.20
85 H 0.1368 0.4357 0.4794  2 B 1.28-1.39
86 H 0.6455 0.7269 0.6851  2 B 1.29-1.39
87 H 0.4184 0.3881 0.7669  1 B 1.20
88 H 0.8545 0.2269 0.1851  2 B 1.29-1.39
89 H 0.0136 0.2915 0.0736  2 B 1.33-1.34
90 H 0.9194 0.4813 0.1330  1 B 1.20
91 H 0.9900 0.3371 0.6831  1 B 1.20
92 H 0.5806 0.9813 0.6330  1 B 1.20
93 H 0.5085 0.3561 0.5850  2 B 1.35
94 H 0.5136 0.2085 0.4264  2 B 1.33-1.34
95 H 0.7361 0.0853 0.8676  2 B 1.33-1.34
96 H 0.6783 0.1943 0.5744  1 B 1.20

This record from Alexandria via LeMat-Bulk describes a crystal of B3H5 relaxed with PBEsol. The functional is SCAN.

Results
SG = Cmc2_1 (36)
D(E_F) = 0.000 states/eV per atom
energy above the lowest structure with this stoichiometry = 0.22 eV/f.u.
spin magnetization = 0.0 μB/f.u.
total DFT energy (no corrections) = -5.0048 eV/atom
volume = 271.7 Å³ per cell

Cell: 5.7723 5.7723 8.2785 Å, 90.00 90.00 99.97°
Closest atoms and distances in Å follow each position.
Positions (direct):
1 H 0.2391 0.1215 0.1834  2 B 1.33-1.35
2 H 0.7609 0.8785 0.6834  2 B 1.33-1.35
3 H 0.8785 0.7609 0.1834  2 B 1.33-1.35
4 H 0.1215 0.2391 0.6834  2 B 1.33-1.35
5 H 0.3587 0.8978 0.0522  2 B 1.32-1.38
6 H 0.6413 0.1022 0.5522  2 B 1.32-1.38
7 H 0.1022 0.6413 0.0522  2 B 1.32-1.38
8 H 0.8978 0.3587 0.5522  2 B 1.32-1.38
9 H 0.4317 0.5683 0.0735  1 B 1.20
10 H 0.5683 0.4317 0.5735  1 B 1.20
11 H 0.5988 0.0789 0.2038  1 B 1.20
12 H 0.4012 0.9211 0.7038  1 B 1.20
13 H 0.6639 0.3361 0.9362  1 B 1.20
14 H 0.3361 0.6639 0.4362  1 B 1.20
15 H 0.1989 0.2383 0.9267  1 B 1.20
16 H 0.8011 0.7617 0.4267  1 B 1.20
17 H 0.7617 0.8011 0.9267  1 B 1.20
18 H 0.2383 0.1989 0.4267  1 B 1.20
19 H 0.0789 0.5988 0.7038  1 B 1.20
20 H 0.9211 0.4012 0.2038  1 B 1.20
21 B 0.3059 0.6941 0.1265  3 H 1.20-1.32
22 B 0.6941 0.3059 0.6265  3 H 1.20-1.32
23 B 0.3986 0.9798 0.2075  1 H 1.20
24 B 0.6014 0.0202 0.7075  1 H 1.20
25 B 0.0202 0.6014 0.2075  1 H 1.20
26 B 0.9798 0.3986 0.7075  1 H 1.20
27 B 0.1784 0.0431 0.3318  2 H 1.20-1.33
28 B 0.8216 0.9569 0.8318  2 H 1.20-1.33
29 B 0.9569 0.8216 0.3318  2 H 1.20-1.33
30 B 0.0431 0.1784 0.8318  2 H 1.20-1.33
31 B 0.2471 0.7529 0.3270  1 H 1.20
32 B 0.7529 0.2471 0.8270  1 H 1.20

This record from Alexandria via LeMat-Bulk describes a crystal of B10H13 relaxed with PBEsol. The functional is SCAN.

Results
SG = Pbca (61)
D(E_F) = 0.000 states/eV per atom
spin magnetization = 0.0 μB/f.u.
total DFT energy (no corrections) = -5.2930 eV/atom
volume = 1545.2 Å³ per cell

Cell: 10.3993 10.3529 14.3518 Å, 90.00 90.00 90.00°
Closest atoms and distances in Å follow each position.
Positions (direct):
1 B 0.0689 0.0086 0.3399  1 H 1.20
2 B 0.4312 0.0086 0.8399  1 H 1.20
3 B 0.2325 0.0144 0.3124  2 H 1.20-1.33
4 B 0.2675 0.0144 0.8124  2 H 1.20-1.33
5 B 0.3226 0.0239 0.4169  1 H 1.20
6 B 0.1774 0.0239 0.9169  1 H 1.20
7 B 0.0527 0.0341 0.4617  6 B 1.70-1.78
8 B 0.4473 0.0341 0.9617  6 B 1.70-1.78
9 B 0.2915 0.0577 0.0052  2 H 1.20-1.33
10 B 0.2085 0.0577 0.5052  2 H 1.20-1.33
11 B 0.6808 0.0608 0.0825  1 H 1.20
12 B 0.8192 0.0608 0.5825  1 H 1.20
13 B 0.5006 0.1532 0.8814  1 H 1.21
14 B 0.9994 0.1532 0.3814  1 H 1.21
15 B 0.1128 0.1548 0.2883  2 H 1.20-1.33
16 B 0.3872 0.1548 0.7883  2 H 1.20-1.33
17 B 0.0896 0.1967 0.4816  2 H 1.20-1.33
18 B 0.4104 0.1967 0.9816  2 H 1.20-1.33
19 B 0.6073 0.2218 0.3739  1 H 1.19
20 B 0.8927 0.2218 0.8739  1 H 1.19
21 B 0.1073 0.2782 0.3739  1 H 1.19
22 B 0.3927 0.2782 0.8739  1 H 1.19
23 B 0.5896 0.3033 0.4816  2 H 1.20-1.33
24 B 0.9104 0.3033 0.9816  2 H 1.20-1.33
25 B 0.6128 0.3452 0.2883  2 H 1.20-1.33
26 B 0.8872 0.3452 0.7883  2 H 1.20-1.33
27 B 0.0006 0.3468 0.8814  1 H 1.21
28 B 0.4994 0.3468 0.3814  1 H 1.21
29 B 0.1808 0.4392 0.0825  1 H 1.20
30 B 0.3192 0.4392 0.5825  1 H 1.20
31 B 0.7915 0.4423 0.0052  2 H 1.20-1.33
32 B 0.7085 0.4423 0.5052  2 H 1.20-1.33
33 B 0.5527 0.4659 0.4617  6 B 1.70-1.78
34 B 0.9473 0.4659 0.9617  6 B 1.70-1.78
35 B 0.6774 0.4761 0.9169  1 H 1.20
36 B 0.8226 0.4761 0.4169  1 H 1.20
37 B 0.7325 0.4856 0.3124  2 H 1.20-1.33
38 B 0.7675 0.4856 0.8124  2 H 1.20-1.33
39 B 0.5688 0.4914 0.3399  1 H 1.20
40 B 0.9311 0.4914 0.8399  1 H 1.20
41 B 0.0689 0.5086 0.1601  1 H 1.20
42 B 0.4312 0.5086 0.6601  1 H 1.20
43 B 0.2325 0.5144 0.1876  2 H 1.20-1.33
44 B 0.2675 0.5144 0.6876  2 H 1.20-1.33
45 B 0.3226 0.5239 0.0831  1 H 1.20
46 B 0.1774 0.5239 0.5831  1 H 1.20
47 B 0.0527 0.5341 0.0383  6 B 1.70-1.78
48 B 0.4473 0.5341 0.5383  6 B 1.70-1.78
49 B 0.2915 0.5577 0.4948  2 H 1.20-1.33
50 B 0.2085 0.5577 0.9948  2 H 1.20-1.33
51 B 0.6808 0.5608 0.4175  1 H 1.20
52 B 0.8192 0.5608 0.9175  1 H 1.20
53 B 0.5006 0.6532 0.6186  1 H 1.21
54 B 0.9994 0.6532 0.1186  1 H 1.21
55 B 0.1128 0.6548 0.2117  2 H 1.20-1.33
56 B 0.3872 0.6548 0.7117  2 H 1.20-1.33
57 B 0.0896 0.6967 0.0184  2 H 1.20-1.33
58 B 0.4104 0.6967 0.5184  2 H 1.20-1.33
59 B 0.6073 0.7218 0.1261  1 H 1.19
60 B 0.8927 0.7218 0.6261  1 H 1.19
61 B 0.1073 0.7782 0.1261  1 H 1.19
62 B 0.3927 0.7782 0.6261  1 H 1.19
63 B 0.5896 0.8033 0.0184  2 H 1.20-1.33
64 B 0.9104 0.8033 0.5184  2 H 1.20-1.33
65 B 0.6128 0.8452 0.2117  2 H 1.20-1.33
66 B 0.8872 0.8452 0.7117  2 H 1.20-1.33
67 B 0.0006 0.8468 0.6186  1 H 1.21
68 B 0.4994 0.8468 0.1186  1 H 1.21
69 B 0.1808 0.9392 0.4175  1 H 1.20
70 B 0.3192 0.9392 0.9175  1 H 1.20
71 B 0.7085 0.9423 0.9948  2 H 1.20-1.33
72 B 0.7915 0.9423 0.4948  2 H 1.20-1.33
73 B 0.5527 0.9659 0.0383  6 B 1.70-1.78
74 B 0.9473 0.9659 0.5383  6 B 1.70-1.78
75 B 0.6774 0.9761 0.5831  1 H 1.20
76 B 0.8226 0.9761 0.0831  1 H 1.20
77 B 0.7325 0.9856 0.1876  2 H 1.20-1.33
78 B 0.7675 0.9856 0.6876  2 H 1.20-1.33
79 B 0.5688 0.9914 0.1601  1 H 1.20
80 B 0.9311 0.9914 0.6601  1 H 1.20
81 H 0.9305 0.0126 0.0717  1 B 1.20
82 H 0.5695 0.0126 0.5718  1 B 1.20
83 H 0.7783 0.0380 0.2542  1 B 1.20
84 H 0.7217 0.0380 0.7542  1 B 1.20
85 H 0.2634 0.0394 0.0851  1 B 1.20
86 H 0.2366 0.0394 0.5851  1 B 1.20
87 H 0.5057 0.0618 0.2083  1 B 1.20
88 H 0.9942 0.0618 0.7083  1 B 1.20
89 H 0.3236 0.0966 0.3391  2 B 1.33-1.35
90 H 0.1764 0.0966 0.8391  2 B 1.33-1.35
91 H 0.3070 0.1269 0.4726  2 B 1.33-1.34
92 H 0.1930 0.1269 0.9726  2 B 1.33-1.34
93 H 0.5914 0.1093 0.3598  1 B 1.19
94 H 0.9086 0.1093 0.8598  1 B 1.19
95 H 0.6817 0.1753 0.0699  1 B 1.20
96 H 0.8183 0.1753 0.5699  1 B 1.20
97 H 0.8859 0.1733 0.3720  1 B 1.21
98 H 0.6141 0.1733 0.8720  1 B 1.21
99 H 0.0917 0.1807 0.2084  1 B 1.20
100 H 0.4083 0.1807 0.7084  1 B 1.20
101 H 0.2002 0.2411 0.3143  2 B 1.33-1.35
102 H 0.2998 0.2411 0.8143  2 B 1.33-1.35
103 H 0.6842 0.2291 0.4489  2 B 1.33-1.34
104 H 0.8158 0.2291 0.9488  2 B 1.33-1.34
105 H 0.0516 0.2551 0.5483  1 B 1.20
106 H 0.4484 0.2551 0.0483  1 B 1.20
107 H 0.9484 0.2449 0.0483  1 B 1.20
108 H 0.5516 0.2449 0.5483  1 B 1.20
109 H 0.1842 0.2709 0.4488  2 B 1.33-1.34
110 H 0.3158 0.2709 0.9489  2 B 1.33-1.34
111 H 0.7002 0.2589 0.3143  2 B 1.33-1.35
112 H 0.7998 0.2589 0.8143  2 B 1.33-1.35
113 H 0.5917 0.3193 0.2084  1 B 1.20
114 H 0.9083 0.3193 0.7084  1 B 1.20
115 H 0.1141 0.3267 0.8720  1 B 1.21
116 H 0.3859 0.3267 0.3720  1 B 1.21
117 H 0.1817 0.3247 0.0699  1 B 1.20
118 H 0.3183 0.3247 0.5699  1 B 1.20
119 H 0.0914 0.3907 0.3598  1 B 1.19
120 H 0.4086 0.3907 0.8598  1 B 1.19
121 H 0.8070 0.3731 0.4726  2 B 1.33-1.34
122 H 0.6930 0.3731 0.9726  2 B 1.33-1.34
123 H 0.6764 0.4034 0.8391  2 B 1.33-1.35
124 H 0.8236 0.4034 0.3391  2 B 1.33-1.35
125 H 0.0058 0.4382 0.2083  1 B 1.20
126 H 0.4943 0.4382 0.7083  1 B 1.20
127 H 0.7634 0.4606 0.0851  1 B 1.20
128 H 0.7366 0.4606 0.5851  1 B 1.20
129 H 0.2783 0.4620 0.2542  1 B 1.20
130 H 0.2217 0.4620 0.7542  1 B 1.20
131 H 0.4305 0.4874 0.0718  1 B 1.20
132 H 0.0695 0.4874 0.5717  1 B 1.20
133 H 0.5695 0.5126 0.9282  1 B 1.20
134 H 0.9305 0.5126 0.4283  1 B 1.20
135 H 0.7783 0.5380 0.2458  1 B 1.20
136 H 0.7217 0.5380 0.7458  1 B 1.20
137 H 0.2634 0.5394 0.4149  1 B 1.20
138 H 0.2366 0.5394 0.9149  1 B 1.20
139 H 0.5057 0.5618 0.2917  1 B 1.20
140 H 0.9942 0.5618 0.7917  1 B 1.20
141 H 0.3236 0.5966 0.1609  2 B 1.33-1.35
142 H 0.1764 0.5966 0.6609  2 B 1.33-1.35
143 H 0.3070 0.6269 0.0274  2 B 1.33-1.34
144 H 0.1930 0.6269 0.5274  2 B 1.33-1.34
145 H 0.5914 0.6093 0.1402  1 B 1.19
146 H 0.9086 0.6093 0.6402  1 B 1.19
147 H 0.6817 0.6753 0.4301  1 B 1.20
148 H 0.8183 0.6753 0.9301  1 B 1.20
149 H 0.6141 0.6733 0.6280  1 B 1.21
150 H 0.8859 0.6733 0.1280  1 B 1.21
151 H 0.0917 0.6807 0.2916  1 B 1.20
152 H 0.4083 0.6807 0.7916  1 B 1.20
153 H 0.2002 0.7411 0.1857  2 B 1.33-1.35
154 H 0.2998 0.7411 0.6857  2 B 1.33-1.35
155 H 0.6842 0.7291 0.0511  2 B 1.33-1.34
156 H 0.8158 0.7291 0.5512  2 B 1.33-1.34
157 H 0.4484 0.7551 0.4517  1 B 1.20
158 H 0.0516 0.7551 0.9517  1 B 1.20
159 H 0.5516 0.7449 0.9517  1 B 1.20
160 H 0.9484 0.7449 0.4517  1 B 1.20
161 H 0.1842 0.7709 0.0512  2 B 1.33-1.34
162 H 0.3158 0.7709 0.5511  2 B 1.33-1.34
163 H 0.7002 0.7589 0.1857  2 B 1.33-1.35
164 H 0.7998 0.7589 0.6857  2 B 1.33-1.35
165 H 0.5917 0.8193 0.2916  1 B 1.20
166 H 0.9083 0.8193 0.7916  1 B 1.20
167 H 0.1141 0.8267 0.6280  1 B 1.21
168 H 0.3859 0.8267 0.1280  1 B 1.21
169 H 0.1817 0.8247 0.4301  1 B 1.20
170 H 0.3183 0.8247 0.9301  1 B 1.20
171 H 0.0914 0.8907 0.1402  1 B 1.19
172 H 0.4086 0.8907 0.6402  1 B 1.19
173 H 0.6930 0.8731 0.5274  2 B 1.33-1.34
174 H 0.8070 0.8731 0.0274  2 B 1.33-1.34
175 H 0.6764 0.9034 0.6609  2 B 1.33-1.35
176 H 0.8236 0.9034 0.1609  2 B 1.33-1.35
177 H 0.0058 0.9382 0.2917  1 B 1.20
178 H 0.4943 0.9382 0.7917  1 B 1.20
179 H 0.7366 0.9606 0.9149  1 B 1.20
180 H 0.7634 0.9606 0.4149  1 B 1.20
181 H 0.2217 0.9620 0.7458  1 B 1.20
182 H 0.2783 0.9620 0.2458  1 B 1.20
183 H 0.0695 0.9874 0.9283  1 B 1.20
184 H 0.4305 0.9874 0.4282  1 B 1.20

This record from Alexandria via LeMat-Bulk describes a crystal of HfBH relaxed with PBEsol. The functional is SCAN.

Results
SG = R-3m (166)
D(E_F) = 0.118 states/eV per atom
spin magnetization = 0.0 μB/f.u.
total DFT energy (no corrections) = -25.3272 eV/atom
volume = 54.5 Å³ per cell

Cell: 3.1639 3.1639 6.5496 Å, 76.02 76.02 60.00°
Closest atoms and distances in Å follow each position.
Positions (direct):
1 H 0.3037 0.3037 0.0889  4 Hf 2.02-2.04, 3 H 2.14
2 H 0.6963 0.6963 0.9111  4 Hf 2.02-2.04, 3 H 2.14
3 B 0.1648 0.1648 0.5056  3 B 1.83
4 B 0.8352 0.8352 0.4944  3 B 1.83
5 Hf 0.4109 0.4109 0.7673  4 H 2.02-2.04
6 Hf 0.5891 0.5891 0.2327  4 H 2.02-2.04

This record from Alexandria via LeMat-Bulk describes a crystal of Hf3BH relaxed with PBEsol. The functional is SCAN.

Results
SG = Pm-3m (221)
D(E_F) = 1.466 states/eV per atom
spin magnetization = 0.0 μB/f.u.
total DFT energy (no corrections) = -39.0571 eV/atom
volume = 90.7 Å³ per cell

Cell: 4.4927 4.4927 4.4927 Å, 90.00 90.00 90.00°
Closest atoms and distances in Å follow each position.
Positions (direct):
1 H 0.5000 0.5000 0.5000  12 Hf 3.18
2 B 0.0000 0.0000 0.0000  6 Hf 2.25
3 Hf 0.0000 0.5000 0.0000  2 B 2.25
4 Hf 0.0000 0.0000 0.5000  2 B 2.25
5 Hf 0.5000 0.0000 0.0000  2 B 2.25

This record from Alexandria via LeMat-Bulk describes a crystal of HfB2H relaxed with PBEsol. The functional is SCAN.

Results
SG = Fm-3m (225)
D(E_F) = 0.371 states/eV per atom
spin magnetization = 0.0 μB/f.u.
total DFT energy (no corrections) = -19.1601 eV/atom
volume = 39.7 Å³ per cell

Cell: 3.8302 3.8302 3.8302 Å, 60.00 60.00 60.00°
Closest atoms and distances in Å follow each position.
Positions (direct):
1 H 0.0000 0.0000 0.0000  8 B 2.35
2 B 0.2500 0.2500 0.2500  4 Hf 2.35, 4 H 2.35
3 B 0.7500 0.7500 0.7500  4 H 2.35, 4 Hf 2.35
4 Hf 0.5000 0.5000 0.5000  8 B 2.35